# 1
Computed, not measured: an optimized crystal structure of GaSn3Cl at the PBE level of DFT.

Results
spin magnetization = 0.00 μB/cell
VASP energy = -2.95 eV/atom

Unit cell a=5.4294 b=5.4294 c=5.4294 alpha=90.00 beta=90.00 gamma=90.00
With the nearest neighbours (Å) after each atom.
Positions (direct):
1 Ga 0.0000 0.0000 0.0000  12 Sn 3.84
2 Sn 0.0000 0.5000 0.5000  2 Cl 2.71
3 Sn 0.5000 0.0000 0.5000  2 Cl 2.71
4 Sn 0.5000 0.5000 0.0000  2 Cl 2.71
5 Cl 0.5000 0.5000 0.5000  6 Sn 2.71

***

# 2
Computed, not measured: an optimized crystal structure of Tb8Mg2Hg at the PBE level of DFT.

Results
spin magnetization = 0.00 μB/cell
VASP energy = -3.71 eV/atom
energy relative to the elements = -2.3 kJ per mole of atoms

Unit cell a=9.3540 b=9.3540 c=7.1795 alpha=106.52 beta=106.52 gamma=33.19
With the nearest neighbours (Å) after each atom.
Positions (direct):
1 Tb 0.0213 0.0213 0.2637  1 Mg 3.14, 2 Hg 3.25, 2 Tb 3.46
2 Tb 0.1924 0.1924 0.7754  3 Mg 3.09-3.40, 1 Tb 3.44
3 Tb 0.3364 0.3364 0.5479  1 Hg 3.05, 3 Mg 3.06-3.32, 1 Tb 3.42
4 Tb 0.4057 0.4057 0.0459  1 Hg 3.20, 2 Mg 3.37, 3 Tb 3.42-3.46
5 Tb 0.5943 0.5943 0.9541  1 Hg 3.20, 2 Mg 3.37, 3 Tb 3.42-3.46
6 Tb 0.6636 0.6636 0.4521  1 Hg 3.05, 3 Mg 3.06-3.32, 1 Tb 3.42
7 Tb 0.8076 0.8076 0.2246  3 Mg 3.09-3.40, 1 Tb 3.44
8 Tb 0.9787 0.9787 0.7363  1 Mg 3.14, 2 Hg 3.25, 2 Tb 3.46
9 Mg 0.1876 0.1876 0.2014  9 Tb 3.06-3.40
10 Mg 0.8124 0.8124 0.7986  9 Tb 3.06-3.40
11 Hg 0.5000 0.5000 0.5000  8 Tb 3.05-3.25